[1]
VASP calculation (GGA-PBE) on crystalline SmTl2Cl5 at its relaxed geometry.

Cell lengths 13.1596, 8.7585, 8.2679 Å; angles 90.00, 90.00, 90.00 degrees
Last column: nearest neighbours and their distance in Å.
Fractional coordinates of all 32 atoms:
Sm  0.0047  0.2500  0.0731  7 Cl 2.75-2.83
Sm  0.4953  0.7500  0.5731  7 Cl 2.75-2.83
Sm  0.5047  0.2500  0.4269  7 Cl 2.75-2.83
Sm  0.9953  0.7500  0.9269  7 Cl 2.75-2.83
Tl  0.1723  0.0039  0.5527  8 Cl 3.24-3.52
Tl  0.1723  0.4961  0.5527  8 Cl 3.24-3.52
Tl  0.3277  0.5039  0.0527  8 Cl 3.24-3.52
Tl  0.3277  0.9961  0.0527  8 Cl 3.24-3.52
Tl  0.6723  0.0039  0.9473  8 Cl 3.24-3.52
Tl  0.6723  0.4961  0.9473  8 Cl 3.24-3.52
Tl  0.8277  0.5039  0.4473  8 Cl 3.24-3.52
Tl  0.8277  0.9961  0.4473  8 Cl 3.24-3.52
Cl  0.0103  0.2500  0.4091  1 Sm 2.78
Cl  0.0716  0.5435  0.1612  2 Sm 2.81-2.83
Cl  0.0716  0.9565  0.1612  2 Sm 2.81-2.83
Cl  0.1778  0.2500  0.8874  1 Sm 2.75
Cl  0.1980  0.7500  0.8444  1 Sm 2.75
Cl  0.3020  0.2500  0.3444  1 Sm 2.75
Cl  0.3222  0.7500  0.3874  1 Sm 2.75
Cl  0.4284  0.0435  0.6612  2 Sm 2.81-2.83
Cl  0.4284  0.4565  0.6612  2 Sm 2.81-2.83
Cl  0.4897  0.7500  0.9091  1 Sm 2.78
Cl  0.5103  0.2500  0.0909  1 Sm 2.78
Cl  0.5716  0.5435  0.3388  2 Sm 2.81-2.83
Cl  0.5716  0.9565  0.3388  2 Sm 2.81-2.83
Cl  0.6778  0.2500  0.6126  1 Sm 2.75
Cl  0.6980  0.7500  0.6556  1 Sm 2.75
Cl  0.8020  0.2500  0.1556  1 Sm 2.75
Cl  0.8222  0.7500  0.1126  1 Sm 2.75
Cl  0.9284  0.0435  0.8388  2 Sm 2.81-2.83
Cl  0.9284  0.4565  0.8388  2 Sm 2.81-2.83
Cl  0.9897  0.7500  0.5909  1 Sm 2.78

## Properties
volume: 953 Å³ per cell
uncorrected formation energy: -1686.6 meV per atom



[2]
VASP calculation (GGA-PBE) on crystalline Pm2YTa at its relaxed geometry.

Cell lengths 3.3162, 3.3162, 35.7504 Å; angles 90.00, 90.00, 120.00 degrees
Last column: nearest neighbours and their distance in Å.
Fractional coordinates of all 12 atoms:
Pm  0.0000  0.0000  0.0822  1 Ta 2.94
Pm  0.0000  0.0000  0.9178  1 Ta 2.94
Pm  0.3333  0.6667  0.5845  1 Ta 2.94
Pm  0.3333  0.6667  0.7488  1 Ta 2.94
Pm  0.6667  0.3333  0.2512  1 Ta 2.94
Pm  0.6667  0.3333  0.4155  1 Ta 2.94
Y  0.0000  0.0000  0.5000  6 Y 3.32, 6 Pm 3.58
Y  0.3333  0.6667  0.1667  6 Y 3.32, 6 Pm 3.58
Y  0.6667  0.3333  0.8333  6 Y 3.32, 6 Pm 3.58
Ta  0.0000  0.0000  0.0000  2 Pm 2.94
Ta  0.3333  0.6667  0.6667  2 Pm 2.94
Ta  0.6667  0.3333  0.3333  2 Pm 2.94

## Properties
formation enthalpy at 0 K: 0.657 eV per atom
volume: 340 Å³ per cell



[3]
VASP calculation (GGA-PBE) on crystalline Co2SiTeBr at its relaxed geometry.

Cell lengths 4.5189, 4.5189, 5.4260 Å; angles 90.00, 90.00, 90.00 degrees
Last column: nearest neighbours and their distance in Å.
Fractional coordinates of all 5 atoms:
Co  0.0000  0.5000  0.0000  2 Si 2.26
Co  0.5000  0.0000  0.0000  2 Si 2.26
Si  0.0000  0.0000  0.0000  4 Co 2.26
Te  0.0000  0.0000  0.5000  2 Si 2.71
Br  0.5000  0.5000  0.5000  4 Te 3.20, 8 Co 3.53

## Properties
volume: 111 Å³ per cell
uncorrected formation energy: 837.7 meV per atom



[4]
VASP calculation (GGA-PBE) on crystalline Be11TcNi at its relaxed geometry.

Cell lengths 5.4663, 5.4663, 5.6258 Å; angles 98.27, 98.27, 134.28 degrees
Last column: nearest neighbours and their distance in Å.
Fractional coordinates of all 13 atoms:
Be  0.0000  0.0000  0.0000  2 Ni 2.12, 8 Be 2.14-2.24
Be  0.0000  0.5000  0.5000  10 Be 2.10-2.22
Be  0.0031  0.7945  0.2959  7 Be 2.10-2.34, 1 Ni 2.16
Be  0.1599  0.5120  0.1578  7 Be 2.20-2.38, 1 Ni 2.21
Be  0.2055  0.9969  0.7041  7 Be 2.10-2.34, 1 Ni 2.16
Be  0.4880  0.8401  0.8422  7 Be 2.20-2.38, 1 Ni 2.21
Be  0.5000  0.0000  0.5000  10 Be 2.10-2.22
Be  0.5120  0.1599  0.1578  7 Be 2.20-2.38, 1 Ni 2.21
Be  0.7945  0.0031  0.2959  7 Be 2.10-2.34, 1 Ni 2.16
Be  0.8401  0.4880  0.8422  7 Be 2.20-2.38, 1 Ni 2.21
Be  0.9969  0.2055  0.7041  7 Be 2.10-2.34, 1 Ni 2.16
Tc  0.5000  0.5000  0.5000  16 Be 2.52-2.73, 2 Ni 2.81
Ni  0.5000  0.5000  0.0000  10 Be 2.12-2.21

## Properties
formation enthalpy at 0 K: -0.194 eV per atom
volume: 112 Å³ per cell



[5]
VASP calculation (GGA-PBE) on crystalline AgAsRhSe2 at its relaxed geometry.

Cell lengths 5.0016, 5.0016, 4.8851 Å; angles 90.00, 90.00, 90.00 degrees
Last column: nearest neighbours and their distance in Å.
Fractional coordinates of all 5 atoms:
Ag  0.0000  0.0000  0.0000  2 As 2.44, 4 Se 2.50
As  0.0000  0.0000  0.5000  2 Ag 2.44
Rh  0.5000  0.5000  0.5000  8 Se 3.50, 4 As 3.54
Se  0.0000  0.5000  0.0000  2 Ag 2.50
Se  0.5000  0.0000  0.0000  2 Ag 2.50

## Properties
polymorph energy (0 for the lowest one): 726.8 meV per atom
volume: 122 Å³ per cell
uncorrected formation energy: 1150.8 meV per atom



[6]
VASP calculation (GGA-PBE) on crystalline Sr2Ga3SiAu4 at its relaxed geometry.

Cell lengths 4.5496, 4.5496, 10.5189 Å; angles 90.00, 90.00, 90.00 degrees
Last column: nearest neighbours and their distance in Å.
Fractional coordinates of all 10 atoms:
Sr  0.0000  0.5000  0.2467  6 Ga 3.45-3.48, 2 Si 3.45, 8 Au 3.46-3.50
Sr  0.5000  0.0000  0.7533  6 Ga 3.45-3.48, 2 Si 3.45, 8 Au 3.46-3.50
Ga  0.0000  0.0000  0.0000  4 Au 2.63
Ga  0.0000  0.5000  0.6270  5 Au 2.61-2.64
Ga  0.5000  0.0000  0.3730  5 Au 2.61-2.64
Si  0.5000  0.5000  0.0000  4 Au 2.63
Au  0.0000  0.0000  0.5000  4 Ga 2.64
Au  0.0000  0.5000  0.8754  3 Ga 2.61-2.63, 2 Si 2.63
Au  0.5000  0.0000  0.1246  3 Ga 2.61-2.63, 2 Si 2.63
Au  0.5000  0.5000  0.5000  4 Ga 2.64

## Properties
volume: 218 Å³ per cell
uncorrected formation energy: -550.7 meV per atom



[7]
VASP calculation (GGA-PBE) on crystalline Tl2ReBr at its relaxed geometry.

Cell lengths 3.1504, 4.6192, 15.4566 Å; angles 90.00, 90.00, 90.00 degrees
Last column: nearest neighbours and their distance in Å.
Fractional coordinates of all 8 atoms:
Tl  0.0000  0.0000  0.0000  4 Re 2.83, 2 Tl 3.15
Tl  0.0000  0.5000  0.1599  4 Tl 3.15-3.38, 2 Re 3.33
Tl  0.5000  0.0000  0.6599  4 Tl 3.15-3.38, 2 Re 3.33
Tl  0.5000  0.5000  0.5000  4 Re 2.83, 2 Tl 3.15
Re  0.0000  0.0000  0.4699  2 Br 2.56, 4 Tl 2.83
Re  0.5000  0.5000  0.9699  2 Br 2.56, 4 Tl 2.83
Br  0.0000  0.5000  0.8391  2 Re 2.56
Br  0.5000  0.0000  0.3391  2 Re 2.56

## Properties
polymorph energy (0 for the lowest one): 0.0 meV per atom
volume: 225 Å³ per cell
uncorrected formation energy: 610.6 meV per atom



[8]
VASP calculation (GGA-PBE) on crystalline GaAsPdO2 at its relaxed geometry.

Cell lengths 3.8949, 3.8949, 5.2030 Å; angles 90.00, 90.00, 90.00 degrees
Last column: nearest neighbours and their distance in Å.
Fractional coordinates of all 5 atoms:
Ga  0.0000  0.0000  0.0000  2 Pd 2.60, 4 As 2.75
As  0.5000  0.5000  0.0000  4 Ga 2.75
Pd  0.0000  0.0000  0.5000  4 O 1.95
O  0.0000  0.5000  0.5000  2 Pd 1.95
O  0.5000  0.0000  0.5000  2 Pd 1.95

## Properties
volume: 79 Å³ per cell
uncorrected formation energy: 195.4 meV per atom



[9]
VASP calculation (GGA-PBE) on crystalline NaCaAg2 at its relaxed geometry.

Cell lengths 5.2838, 9.5944, 7.9562 Å; angles 90.00, 90.00, 90.00 degrees
Last column: nearest neighbours and their distance in Å.
Fractional coordinates of all 16 atoms:
Na  0.0000  0.0908  0.2500  2 Ag 2.99, 3 Ca 3.10-3.17
Na  0.0000  0.9092  0.7500  2 Ag 2.99, 3 Ca 3.10-3.17
Na  0.5000  0.4092  0.7500  2 Ag 2.99, 3 Ca 3.10-3.17
Na  0.5000  0.5908  0.2500  2 Ag 2.99, 3 Ca 3.10-3.17
Ca  0.0000  0.4217  0.2500  3 Na 3.10-3.17, 6 Ag 3.11-3.38
Ca  0.0000  0.5783  0.7500  3 Na 3.10-3.17, 6 Ag 3.11-3.38
Ca  0.5000  0.0783  0.7500  3 Na 3.10-3.17, 6 Ag 3.11-3.38
Ca  0.5000  0.9217  0.2500  3 Na 3.10-3.17, 6 Ag 3.11-3.38
Ag  0.0000  0.2445  0.5773  3 Ag 2.75-2.92, 1 Na 2.99
Ag  0.0000  0.2445  0.9227  3 Ag 2.75-2.92, 1 Na 2.99
Ag  0.0000  0.7555  0.0773  3 Ag 2.75-2.92, 1 Na 2.99
Ag  0.0000  0.7555  0.4227  3 Ag 2.75-2.92, 1 Na 2.99
Ag  0.5000  0.2555  0.0773  3 Ag 2.75-2.92, 1 Na 2.99
Ag  0.5000  0.2555  0.4227  3 Ag 2.75-2.92, 1 Na 2.99
Ag  0.5000  0.7445  0.5773  3 Ag 2.75-2.92, 1 Na 2.99
Ag  0.5000  0.7445  0.9227  3 Ag 2.75-2.92, 1 Na 2.99

## Properties
formation enthalpy at 0 K: -0.060 eV per atom
volume: 403 Å³ per cell



[10]
VASP calculation (GGA-PBE) on crystalline La2IBr4 at its relaxed geometry.

Cell lengths 11.1989, 11.1989, 11.1989 Å; angles 27.07, 27.07, 27.07 degrees
Last column: nearest neighbours and their distance in Å.
Fractional coordinates of all 7 atoms:
La  0.0980  0.0980  0.0980  7 Br 3.10-3.27, 1 I 3.17
La  0.9020  0.9020  0.9020  7 Br 3.10-3.27, 1 I 3.17
I  0.0000  0.0000  0.0000  2 La 3.17
Br  0.1974  0.1974  0.1974  4 La 3.21-3.27, 3 Br 3.57
Br  0.4109  0.4109  0.4109  3 La 3.10
Br  0.5891  0.5891  0.5891  3 La 3.10
Br  0.8026  0.8026  0.8026  4 La 3.21-3.27, 3 Br 3.57

## Properties
volume: 257 Å³ per cell
uncorrected formation energy: -1679.8 meV per atom



[11]
VASP calculation (GGA-PBE) on crystalline NdPaCu2 at its relaxed geometry.

Cell lengths 3.4275, 3.4275, 26.3662 Å; angles 90.00, 90.00, 120.00 degrees
Last column: nearest neighbours and their distance in Å.
Fractional coordinates of all 12 atoms:
Nd  0.0000  0.0000  0.0000  6 Cu 3.01
Nd  0.3333  0.6667  0.6667  6 Cu 3.01
Nd  0.6667  0.3333  0.3333  6 Cu 3.01
Pa  0.0000  0.0000  0.5000  6 Cu 2.90
Pa  0.3333  0.6667  0.1667  6 Cu 2.90
Pa  0.6667  0.3333  0.8333  6 Cu 2.90
Cu  0.0000  0.0000  0.2472  3 Pa 2.90, 3 Nd 3.01
Cu  0.0000  0.0000  0.7528  3 Pa 2.90, 3 Nd 3.01
Cu  0.3333  0.6667  0.4195  3 Pa 2.90, 3 Nd 3.01
Cu  0.3333  0.6667  0.9139  3 Pa 2.90, 3 Nd 3.01
Cu  0.6667  0.3333  0.0861  3 Pa 2.90, 3 Nd 3.01
Cu  0.6667  0.3333  0.5805  3 Pa 2.90, 3 Nd 3.01

## Properties
formation enthalpy at 0 K: 0.248 eV per atom
polymorph energy (0 for the lowest one): 183.1 meV per atom
volume: 268 Å³ per cell



[12]
VASP calculation (GGA-PBE) on crystalline NiPd2Rh at its relaxed geometry.

Cell lengths 6.1220, 6.1220, 6.1220 Å; angles 90.00, 90.00, 90.00 degrees
Last column: nearest neighbours and their distance in Å.
Fractional coordinates of all 16 atoms:
Ni  0.0000  0.0000  0.0000  8 Pd 2.65
Ni  0.0000  0.5000  0.5000  8 Pd 2.65
Ni  0.5000  0.0000  0.5000  8 Pd 2.65
Ni  0.5000  0.5000  0.0000  8 Pd 2.65
Pd  0.2500  0.2500  0.2500  4 Ni 2.65, 4 Rh 2.65
Pd  0.2500  0.2500  0.7500  4 Ni 2.65, 4 Rh 2.65
Pd  0.2500  0.7500  0.2500  4 Ni 2.65, 4 Rh 2.65
Pd  0.2500  0.7500  0.7500  4 Ni 2.65, 4 Rh 2.65
Pd  0.7500  0.2500  0.2500  4 Ni 2.65, 4 Rh 2.65
Pd  0.7500  0.2500  0.7500  4 Ni 2.65, 4 Rh 2.65
Pd  0.7500  0.7500  0.2500  4 Ni 2.65, 4 Rh 2.65
Pd  0.7500  0.7500  0.7500  4 Ni 2.65, 4 Rh 2.65
Rh  0.0000  0.0000  0.5000  8 Pd 2.65
Rh  0.0000  0.5000  0.0000  8 Pd 2.65
Rh  0.5000  0.0000  0.0000  8 Pd 2.65
Rh  0.5000  0.5000  0.5000  8 Pd 2.65

## Properties
formation enthalpy at 0 K: 0.216 eV per atom
polymorph energy (0 for the lowest one): 143.6 meV per atom
volume: 229 Å³ per cell



Among the records above, which one has the lowest volume? GaAsPdO2



Number 7 is which compound? Tl2ReBr



Which formula does entry 2 have? Pm2YTa